(1)
DFT (GGA-PBE) results for Zr3Ti2O after structural relaxation.

Cell lengths 5.776, 5.776, 7.915 Å; angles 104.19, 104.19, 64.67 degrees
Atoms (fractional coordinates):
Zr: 0.159 0.841 0.750
Zr: 0.273 0.493 0.042
Zr: 0.493 0.273 0.542
Zr: 0.507 0.727 0.458
Zr: 0.727 0.507 0.958
Zr: 0.841 0.159 0.250
Ti: 0.003 0.630 0.359
Ti: 0.370 0.997 0.141
Ti: 0.630 0.003 0.859
Ti: 0.997 0.370 0.641
O: 0.183 0.817 0.250
O: 0.817 0.183 0.750

E_form (uncorrected) ... -708 meV/atom



(2)
DFT (GGA-PBE) results for ZrTi4O after structural relaxation.

Cell lengths 7.169, 7.169, 5.648 Å; angles 104.65, 104.65, 43.31 degrees
Atoms (fractional coordinates):
Zr: 0.103 0.897 0.750
Zr: 0.897 0.103 0.250
Ti: 0.131 0.289 0.655
Ti: 0.289 0.131 0.155
Ti: 0.307 0.493 0.059
Ti: 0.493 0.307 0.559
Ti: 0.507 0.693 0.441
Ti: 0.693 0.507 0.941
Ti: 0.711 0.869 0.845
Ti: 0.869 0.711 0.345
O: 0.000 0.500 0.000
O: 0.500 0.000 0.500

E_form (uncorrected) ... -909 meV/atom



(3)
DFT (GGA-PBE) results for Zr3TiO8 after structural relaxation.

Cell lengths 6.414, 6.414, 6.414 Å; angles 133.16, 133.16, 68.40 degrees
Atoms (fractional coordinates):
Zr: 0.000 0.000 0.000
Zr: 0.250 0.750 0.500
Zr: 0.750 0.250 0.500
Ti: 0.500 0.500 0.000
O: 0.047 0.637 0.000
O: 0.188 0.188 0.557
O: 0.363 0.363 0.411
O: 0.369 0.812 0.000
O: 0.631 0.631 0.443
O: 0.637 0.047 0.000
O: 0.812 0.369 0.000
O: 0.953 0.953 0.589

E_form (uncorrected) ... -3238 meV/atom



(4)
DFT (GGA-PBE) results for Zr2Ti3O2 after structural relaxation.

Cell lengths 5.669, 5.669, 7.457 Å; angles 112.69, 112.69, 30.47 degrees
Atoms (fractional coordinates):
Zr: 0.171 0.171 0.287
Zr: 0.829 0.829 0.713
Ti: 0.380 0.380 0.097
Ti: 0.500 0.500 0.500
Ti: 0.620 0.620 0.903
O: 0.024 0.024 0.705
O: 0.976 0.976 0.295

E_form (uncorrected) ... -1334 meV/atom



(5)
DFT (GGA-PBE) results for ZrTiO4 after structural relaxation.

Cell lengths 6.695, 6.695, 6.904 Å; angles 105.88, 105.88, 33.85 degrees
Atoms (fractional coordinates):
Zr: 0.196 0.196 0.275
Zr: 0.804 0.804 0.725
Ti: 0.096 0.096 0.702
Ti: 0.904 0.904 0.298
O: 0.055 0.055 0.369
O: 0.133 0.133 0.979
O: 0.255 0.255 0.646
O: 0.369 0.369 0.305
O: 0.631 0.631 0.695
O: 0.745 0.745 0.354
O: 0.867 0.867 0.021
O: 0.945 0.945 0.631

E_form (uncorrected) ... -3141 meV/atom



(6)
DFT (GGA-PBE) results for ZrTiO3 after structural relaxation.

Cell lengths 4.098, 4.098, 4.098 Å; angles 90.00, 90.00, 90.00 degrees
Atoms (fractional coordinates):
Zr: 0.000 0.000 0.000
Ti: 0.500 0.500 0.500
O: 0.000 0.000 0.500
O: 0.000 0.500 0.000
O: 0.500 0.000 0.000

E_form (uncorrected) ... -2102 meV/atom



(7)
DFT (GGA-PBE) results for ZrTiO3 after structural relaxation.

Cell lengths 3.854, 3.854, 3.854 Å; angles 90.00, 90.00, 90.00 degrees
Atoms (fractional coordinates):
Zr: 0.000 0.000 0.000
Ti: 0.500 0.500 0.500
O: 0.000 0.500 0.500
O: 0.500 0.000 0.500
O: 0.500 0.500 0.000

E_form (uncorrected) ... -2309 meV/atom



(8)
DFT (GGA-PBE) results for ZrTiO4 after structural relaxation.

Cell lengths 5.728, 5.728, 5.728 Å; angles 107.40, 107.40, 113.71 degrees
Atoms (fractional coordinates):
Zr: 0.000 0.000 0.000
Zr: 0.750 0.250 0.500
Ti: 0.250 0.750 0.500
Ti: 0.500 0.500 0.000
O: 0.019 0.327 0.309
O: 0.019 0.710 0.691
O: 0.077 0.269 0.809
O: 0.460 0.269 0.191
O: 0.486 0.182 0.696
O: 0.486 0.790 0.304
O: 0.540 0.736 0.804
O: 0.932 0.736 0.196

E_form (uncorrected) ... -3123 meV/atom



(9)
DFT (GGA-PBE) results for ZrTiO4 after structural relaxation.

Cell lengths 4.971, 5.455, 10.113 Å; angles 95.15, 92.14, 91.58 degrees
Atoms (fractional coordinates):
Zr: 0.000 0.000 0.000
Zr: 0.021 0.021 0.500
Zr: 0.432 0.503 0.003
Zr: 0.943 0.579 0.716
Ti: 0.469 0.481 0.475
Ti: 0.497 0.117 0.741
Ti: 0.525 0.076 0.233
Ti: 0.974 0.590 0.235
O: 0.171 0.689 0.890
O: 0.172 0.335 0.138
O: 0.213 0.666 0.393
O: 0.228 0.883 0.652
O: 0.235 0.366 0.612
O: 0.240 0.192 0.879
O: 0.272 0.832 0.143
O: 0.313 0.165 0.382
O: 0.656 0.177 0.073
O: 0.661 0.423 0.831
O: 0.708 0.415 0.317
O: 0.723 0.235 0.593
O: 0.736 0.713 0.553
O: 0.740 0.922 0.817
O: 0.783 0.686 0.080
O: 0.801 0.920 0.313

E_form (uncorrected) ... -3160 meV/atom



(10)
DFT (GGA-PBE) results for ZrTiO4 after structural relaxation.

Cell lengths 4.778, 5.151, 5.729 Å; angles 90.00, 90.00, 90.00 degrees
Atoms (fractional coordinates):
Zr: 0.000 0.000 0.078
Zr: 0.500 0.500 0.922
Ti: 0.000 0.500 0.431
Ti: 0.500 0.000 0.569
O: 0.217 0.659 0.149
O: 0.238 0.176 0.377
O: 0.262 0.676 0.623
O: 0.283 0.159 0.851
O: 0.717 0.841 0.851
O: 0.738 0.324 0.623
O: 0.762 0.824 0.377
O: 0.783 0.341 0.149

E_form (uncorrected) ... -3128 meV/atom



(11)
DFT (GGA-PBE) results for Tl2O3 after structural relaxation.

Cell lengths 7.157, 7.157, 9.143 Å; angles 102.02, 102.02, 29.06 degrees
Atoms (fractional coordinates):
Tl: 0.025 0.025 0.318
Tl: 0.314 0.314 0.371
Tl: 0.364 0.364 0.005
Tl: 0.636 0.636 0.995
Tl: 0.686 0.686 0.629
Tl: 0.975 0.975 0.682
O: 0.137 0.137 0.753
O: 0.172 0.172 0.450
O: 0.208 0.208 0.107
O: 0.484 0.484 0.844
O: 0.500 0.500 0.500
O: 0.516 0.516 0.156
O: 0.792 0.792 0.893
O: 0.828 0.828 0.550
O: 0.863 0.863 0.247

E_form (uncorrected) ... -609 meV/atom



(12)
DFT (GGA-PBE) results for Tl2O3 after structural relaxation.

Cell lengths 3.595, 3.595, 6.527 Å; angles 90.00, 90.00, 120.00 degrees
Atoms (fractional coordinates):
Tl: 0.333 0.667 0.230
Tl: 0.667 0.333 0.770
O: 0.000 0.000 0.000
O: 0.333 0.667 0.654
O: 0.667 0.333 0.346

E_form (uncorrected) ... -567 meV/atom



Number 1: DFT total energy -101.276 eV for the cell shown, ρ 5.6 g/cm³. Number 2: DFT total energy -101.085 eV for the cell shown, ρ 5.2 g/cm³. Number 3: DFT total energy -112.060 eV for the cell shown, ρ 5.4 g/cm³. Number 4: DFT total energy -60.034 eV for the cell shown, ρ 5.3 g/cm³. Number 5: DFT total energy -110.239 eV for the cell shown, ρ 4.1 g/cm³. Number 6: DFT total energy -41.830 eV for the cell shown, ρ 4.5 g/cm³. Number 7: DFT total energy -42.861 eV for the cell shown, ρ 5.4 g/cm³. Number 8: DFT total energy -110.031 eV for the cell shown, ρ 4.7 g/cm³. Number 9: DFT total energy -220.936 eV for the cell shown, ρ 4.9 g/cm³. Number 10: DFT total energy -110.091 eV for the cell shown, ρ 4.8 g/cm³. Number 11: DFT total energy -67.955 eV for the cell shown, ρ 10.2 g/cm³. Number 12: DFT total energy -22.444 eV for the cell shown, ρ 10.4 g/cm³.